Record 1
A relaxed structure of YBeRu, computed with GGA-PBEsol.

Results
- DFT formation energy: -62.3 kJ/mol of formula units
- Space-group type: P-6m2, No. 187
- ΔE to the lowest computed polymorph: 0 meV per atom
- Calculated total energy: -7.213 eV per atom
- Crystal system: hexagonal

abc: 3.648 3.974 3.974
angles: 120.00 90.00 90.00
Element x y z (fractional)
Y  0.500  0.333  0.667
Ru  0.000  0.667  0.333
Be  0.000  0.000  0.000

=====

Record 2
A relaxed structure of YBeRu3, computed with GGA-PBEsol.

Results
- DFT formation energy: 1184.5 kJ/mol of formula units
- Space-group type: Pm-3m, No. 221
- Calculated total energy: -5.813 eV per atom
- Crystal system: cubic

abc: 4.706 4.706 4.706
angles: 90.00 90.00 90.00
Each line ends with the local moment (μB).
Element x y z (fractional)
Y  0.000  0.000  0.000  0.00
Ru  0.000  0.500  0.000  1.20
Ru  0.000  0.000  0.500  1.20
Ru  0.500  0.000  0.000  1.20
Be  0.500  0.500  0.500  -0.05

=====

Record 3
A relaxed structure of Be2ZnRu2, computed with GGA-PBEsol.

Results
- DFT formation energy: -142.2 kJ/mol of formula units
- Space-group type: P4/mbm, No. 127
- Calculated total energy: -6.280 eV per atom
- Crystal system: tetragonal

abc: 3.120 5.860 5.860
angles: 90.00 90.00 90.00
Element x y z (fractional)
Ru  0.500  0.173  0.673
Ru  0.500  0.673  0.827
Ru  0.500  0.827  0.327
Ru  0.500  0.327  0.173
Zn  0.000  0.000  0.000
Zn  0.000  0.500  0.500
Be  0.000  0.377  0.877
Be  0.000  0.877  0.623
Be  0.000  0.623  0.123
Be  0.000  0.123  0.377

=====

Record 4
A relaxed structure of Be3ZnRu, computed with GGA-PBEsol.

Results
- DFT formation energy: 460.6 kJ/mol of formula units
- Space-group type: Pm-3m, No. 221
- Calculated total energy: -3.796 eV per atom
- Crystal system: cubic

abc: 3.898 3.898 3.898
angles: 90.00 90.00 90.00
Element x y z (fractional)
Ru  0.500  0.500  0.500
Zn  0.000  0.000  0.000
Be  0.000  0.500  0.000
Be  0.000  0.000  0.500
Be  0.500  0.000  0.000

=====

Record 5
A relaxed structure of ZrBeRu2, computed with GGA-PBEsol.

Results
- DFT formation energy: -88.6 kJ/mol of formula units
- Space-group type: P4/mmm, No. 123
- Calculated total energy: -8.588 eV per atom
- Crystal system: tetragonal

abc: 3.194 4.178 4.178
angles: 90.00 90.00 90.00
Element x y z (fractional)
Ru  0.000  0.000  0.500
Ru  0.000  0.500  0.000
Zr  0.500  0.500  0.500
Be  0.500  0.000  0.000

=====

Record 6
A relaxed structure of ZrBe2Ru2, computed with GGA-PBEsol.

Results
- DFT formation energy: -194.9 kJ/mol of formula units
- Space-group type: P4/mbm, No. 127
- Calculated total energy: -7.891 eV per atom
- Crystal system: tetragonal

abc: 3.016 6.424 6.424
angles: 90.00 90.00 90.00
Element x y z (fractional)
Ru  0.500  0.168  0.668
Ru  0.500  0.668  0.832
Ru  0.500  0.832  0.332
Ru  0.500  0.332  0.168
Zr  0.000  0.000  0.000
Zr  0.000  0.500  0.500
Be  0.000  0.384  0.884
Be  0.000  0.884  0.616
Be  0.000  0.616  0.116
Be  0.000  0.116  0.384

=====

DFT formation energy of number 3 (Be2ZnRu2)? -142.2 kJ/mol of formula units

=====

Look up the DFT formation energy of the fourth one. 460.6 kJ/mol of formula units